# 1
A plane-wave DFT calculation with PBE was carried out for a geometry-optimized Li5Cd2Hg4 structure.

Cell lengths 3.2951, 7.3816, 17.5262 Å; angles 90.00, 90.00, 90.00 degrees
Last column: nearest neighbours and their distance in Å.
Positions (direct):
Cd (0.5000, 0.4720, 0.2053)  6 Li 2.91-2.92, 3 Hg 2.98-3.14
Hg (0.5000, 0.4010, 0.6332)  6 Li 2.88-2.95, 2 Cd 2.98-3.03
Hg (0.5000, 0.7995, 0.5540)  8 Li 2.84-2.92, 1 Cd 3.14
Li (0.0000, 0.1145, 0.5730)  6 Hg 2.84-2.88, 2 Cd 2.91, 2 Li 3.07-3.12
Hg (0.5000, 0.2005, 0.4460)  8 Li 2.84-2.92, 1 Cd 3.14
Li (0.0000, 0.7938, 0.1800)  4 Hg 2.84-2.91, 4 Cd 2.91-2.92
Cd (0.5000, 0.9720, 0.2947)  6 Li 2.91-2.92, 3 Hg 2.98-3.14
Li (0.0000, 0.5000, 0.5000)  8 Hg 2.92-2.95, 2 Li 3.12
Li (0.0000, 0.2062, 0.8200)  4 Hg 2.84-2.91, 4 Cd 2.91-2.92
Li (0.0000, 0.7062, 0.6800)  4 Hg 2.84-2.91, 4 Cd 2.91-2.92
Cd (0.5000, 0.0280, 0.7053)  6 Li 2.91-2.92, 3 Hg 2.98-3.14
Li (0.0000, 0.3855, 0.0730)  6 Hg 2.84-2.88, 2 Cd 2.91, 2 Li 3.07-3.12
Hg (0.5000, 0.7005, 0.0540)  8 Li 2.84-2.92, 1 Cd 3.14
Hg (0.5000, 0.0990, 0.1332)  6 Li 2.88-2.95, 2 Cd 2.98-3.03
Li (0.0000, 0.6145, 0.9270)  6 Hg 2.84-2.88, 2 Cd 2.91, 2 Li 3.07-3.12
Li (0.0000, 0.8855, 0.4270)  6 Hg 2.84-2.88, 2 Cd 2.91, 2 Li 3.07-3.12
Hg (0.5000, 0.2995, 0.9460)  8 Li 2.84-2.92, 1 Cd 3.14
Li (0.0000, 0.2938, 0.3200)  4 Hg 2.84-2.91, 4 Cd 2.91-2.92
Hg (0.5000, 0.5990, 0.3668)  6 Li 2.88-2.95, 2 Cd 2.98-3.03
Cd (0.5000, 0.5280, 0.7947)  6 Li 2.91-2.92, 3 Hg 2.98-3.14
Hg (0.5000, 0.9010, 0.8668)  6 Li 2.88-2.95, 2 Cd 2.98-3.03
Li (0.0000, 0.0000, 0.0000)  8 Hg 2.92-2.95, 2 Li 3.12

Values from the calculation:
The density is 8.27 g cm⁻³. For the distance to the lowest polymorph of the same formula, the calculation gives 0.0 kJ per mole of atoms. The space group is Pbam, No. 55. The energy of formation is -3.176 eV per formula unit.

---

# 2
A plane-wave DFT calculation with PBE was carried out for a geometry-optimized Hf2Sc2Pb2N structure.

Cell lengths 4.4097, 4.4097, 8.2674 Å; angles 105.47, 105.47, 90.00 degrees
Last column: nearest neighbours and their distance in Å.
Positions (direct):
Hf (0.5000, 0.0000, 0.0000)  2 N 2.20
Sc (0.1507, 0.1507, 0.3013)  1 N 2.31
Pb (0.3502, 0.3502, 0.7004)  5 Sc 3.06-3.12, 4 Hf 3.18
N (0.0000, 0.0000, 0.0000)  4 Hf 2.20, 2 Sc 2.31
Sc (0.8493, 0.8493, 0.6987)  1 N 2.31
Hf (0.0000, 0.5000, 0.0000)  2 N 2.20
Pb (0.6498, 0.6498, 0.2996)  5 Sc 3.06-3.12, 4 Hf 3.18

Values from the calculation:
The density is 9.76 g cm⁻³. For the formation energy from raw total energies, the calculation gives -0.718 eV/atom. The space group is I4/mmm, No. 139.

---

# 3
A plane-wave DFT calculation with PBE was carried out for a geometry-optimized TbMgNiHg structure.

Cell lengths 4.8663, 4.8663, 4.8663 Å; angles 60.00, 60.00, 60.00 degrees
Last column: nearest neighbours and their distance in Å.
Positions (direct):
Hg (0.7500, 0.7500, 0.7500)  4 Tb 2.98, 4 Mg 2.98
Ni (0.2500, 0.2500, 0.2500)  4 Tb 2.98, 4 Mg 2.98
Tb (0.0000, 0.0000, 0.0000)  4 Hg 2.98, 4 Ni 2.98
Mg (0.5000, 0.5000, 0.5000)  4 Ni 2.98, 4 Hg 2.98

Values from the calculation:
The density is 9.02 g cm⁻³. The space group is F-43m, No. 216. The energy of formation is -1.096 eV per formula unit.

---

# 4
A plane-wave DFT calculation with PBE was carried out for a geometry-optimized LaTlNiPd structure.

Cell lengths 4.9138, 4.9138, 4.9138 Å; angles 60.00, 60.00, 60.00 degrees
Last column: nearest neighbours and their distance in Å.
Positions (direct):
Ni (0.2500, 0.2500, 0.2500)  4 Tl 3.01, 4 La 3.01
Tl (0.0000, 0.0000, 0.0000)  4 Ni 3.01, 4 Pd 3.01
Pd (0.7500, 0.7500, 0.7500)  4 Tl 3.01, 4 La 3.01
La (0.5000, 0.5000, 0.5000)  4 Pd 3.01, 4 Ni 3.01

Values from the calculation:
The density is 10.06 g cm⁻³. The space group is F-43m, No. 216. The energy of formation is -1.354 eV per formula unit.

---

Looking at uncorrected energy for the records above, in order, we have -1.435 -7.620 -3.351 -4.905 eV/atom.
Looking at magnetic moment for the records above, in order, we have 0.000 0.000 0.000 0.000 μB per cell.